# 1
NbFe2Tc2 (PBE-GGA, relaxed); space group = P4/mbm; energy of formation = 0.1215 eV/atom
1.0
-5.641 2.884 -3.469
-3.898 -0.319 6.073
0.836 2.434 0.664
Nb Tc Fe
2 4 4
Direct
0.000 0.000 0.000
0.500 0.500 0.000
0.374 0.874 0.000
0.874 0.626 0.000
0.626 0.126 0.000
0.126 0.374 0.000
0.170 0.670 0.500
0.670 0.830 0.500
0.830 0.330 0.500
0.330 0.170 0.500


# 2
Nb2FeTc (PBE-GGA, relaxed); space group = P4/mmm; energy of formation = -0.1784 eV/atom
1.0
-1.370 2.839 -0.246
0.164 -0.194 -3.151
-5.583 -2.705 -0.123
Nb Tc Fe
2 1 1
Direct
0.000 0.000 0.756
0.000 0.000 0.244
0.500 0.500 0.500
0.500 0.500 0.000


# 3
NbFe8Tc3 (PBE-GGA, relaxed); space group = P3m1; energy of formation = -0.0285 eV/atom
1.0
4.663 0.000 0.000
-2.332 4.038 0.000
0.000 0.000 7.744
Nb Fe Tc
1 8 3
Direct
0.000 0.000 0.567
0.333 0.667 0.499
0.333 0.667 0.000
0.504 0.007 0.753
0.504 0.496 0.753
0.993 0.496 0.753
0.163 0.326 0.249
0.163 0.837 0.249
0.674 0.837 0.249
0.667 0.333 0.422
0.667 0.333 0.065
0.000 0.000 0.940


# 4
Nb6FeTc5 (PBE-GGA, relaxed); space group = Immm; energy of formation = -0.2828 eV/atom
1.0
-2.790 3.063 1.756
1.220 2.057 -7.410
-3.011 -6.989 1.646
Nb Fe Tc
6 1 5
Direct
0.248 0.083 0.414
0.752 0.586 0.917
0.748 0.248 0.248
0.252 0.752 0.752
0.248 0.414 0.083
0.752 0.917 0.586
0.000 0.000 0.000
0.500 0.166 0.834
0.000 0.333 0.667
0.500 0.500 0.500
0.000 0.667 0.333
0.500 0.834 0.166